Below is Dy2Y3Er6Sc after structural relaxation, with properties calculated at the PBE-GGA level.

CIF file:
```
data_Dy2Y3Er6Sc
_cell_length_a 6.079
_cell_length_b 10.517
_cell_length_c 11.639
_cell_angle_alpha 90.00
_cell_angle_beta 99.99
_cell_angle_gamma 90.00
_space_group_name_H-M_alt 'C 1 2/m 1'
_space_group_IT_number 12
_space_group_name_Hall '-C 2y'
loop_
_atom_site_label
_atom_site_type_symbol
_atom_site_fract_x
_atom_site_fract_y
_atom_site_fract_z
Dy1 Dy 0.000 0.167 0.000
Y1 Y 0.000 0.000 0.500
Y2 Y 0.000 0.334 0.500
Er1 Er 0.247 0.334 0.246
Er2 Er 0.250 0.000 0.247
Sc1 Sc 0.000 0.500 0.000
```

Results
Crystal system: monoclinic
ΔE_f (kJ per mole of atoms): 3
Total energy (eV per atom): -5.160
Total magnetic moment (μB per formula unit): 0.0